# 1
{
  "formula": "Cs2TiTlO4",
  "functional": "PBE-GGA",
  "state": "optimized geometry",
  "raw_formation_energy_ev_per_atom": -1.8542,
  "energy_ha_per_atom": -0.21423,
  "vol_a3_per_atom": 22.7,
  "m_tot_mub_per_atom": 0.108,
  "cell": [[-5.942, -1.508, -2.146], [2.865, -2.675, -6.055], [0.562, -6.982, 3.350]],
  "species": ["O", "Cs", "Cs", "Cs", "O", "Tl", "Ti", "Cs", "Ti", "O", "O", "Tl", "O", "O", "O", "O"],
  "fractional_positions": [[0.231, 0.016, 0.000], [0.000, 0.722, 0.747], [0.500, 0.278, 0.247], [0.500, 0.278, 0.753], [0.500, 0.691, 0.695], [0.500, 0.804, 0.000], [0.500, 0.839, 0.500], [0.000, 0.722, 0.253], [0.000, 0.161, 0.000], [0.269, 0.984, 0.500], [0.731, 0.984, 0.500], [0.000, 0.196, 0.500], [0.769, 0.016, 0.000], [0.500, 0.691, 0.305], [0.000, 0.309, 0.805], [0.000, 0.309, 0.195]]
}

---

# 2
{
  "formula": "RbMnPd2",
  "functional": "PBE-GGA",
  "state": "optimized geometry",
  "energy_ha_per_atom": -0.17434,
  "vol_a3_per_atom": 31.0,
  "m_tot_mub_per_atom": 1.252,
  "e_form_ev_per_atom": 0.39,
  "cell": [[-0.791, 5.337, -0.433], [-4.878, -0.537, 2.285], [0.624, 3.533, 8.575]],
  "species": ["Pd", "Pd", "Rb", "Mn", "Pd", "Mn", "Pd", "Rb"],
  "fractional_positions": [[0.374, 0.625, 0.250], [0.375, 0.624, 0.750], [0.000, 0.000, 0.000], [0.250, 0.750, 0.500], [0.376, 0.125, 0.250], [0.500, 0.500, 0.000], [0.875, 0.626, 0.750], [0.750, 0.250, 0.500]]
}